Below is crystalline TlSbNO2 at its relaxed geometry, with properties calculated at the PBE level.

Cell: 3.987 3.987 4.328 Å, 90.00 90.00 90.00°
Fractional positions:
1 Tl 0.500 0.500 0.500
2 Sb 0.000 0.000 0.000
3 O 0.500 0.000 0.000
4 N 0.000 0.000 0.500
5 O 0.000 0.500 0.000

Calculated values
Volume = 68.78 Å³/cell
Total moment = 0.0 μB per cell
DOS(E_F) = 1.0 states/eV/f.u.
Calculated total energy = -5.1838 eV per atom
E_form (uncorrected) = -0.238 eV per atom

***

Below is crystalline TlSbNO2 at its relaxed geometry, with properties calculated at the PBE level.

Cell: 4.204 4.204 4.332 Å, 90.00 90.00 90.00°
Fractional positions:
1 Tl 0.000 0.000 0.000
2 N 0.000 0.000 0.500
3 O 0.500 0.000 0.000
4 O 0.000 0.500 0.000
5 Sb 0.500 0.500 0.500

Calculated values
Volume = 76.55 Å³/cell
Total moment = 0.0 μB per cell
DOS(E_F) = 1.5 states/eV/f.u.
Calculated total energy = -4.2493 eV per atom
E_form (uncorrected) = 0.697 eV per atom